Record 1
Entry from Alexandria via LeMat-Bulk: an optimized crystal structure of Y2MgMo (GGA-PBEsol).

```
4
Lattice="-1.103 -2.281 -1.766 -1.291 -1.301 2.486 -8.083 5.095 -1.532" Properties=species:S:1:pos:R:3 pbc="T T T"
Mg -4.319 2.722 -0.819
Mo -7.141 1.956 -0.767
Y -7.766 4.895 -1.472
Y -3.377 -0.416 -0.054
```

Results
Space group: P4mm (99)
Calculated total energy (eV/f.u.): -25.474
Crystal system: tetragonal

---

Record 2
Entry from Alexandria via LeMat-Bulk: an optimized crystal structure of YMgMo (GGA-PBEsol).

```
3
Lattice="-0.252 0.516 2.834 -0.155 -4.865 0.871 4.341 2.367 -0.044" Properties=species:S:1:pos:R:3 pbc="T T T"
Mg -0.226 0.463 2.543
Mo 2.647 0.356 2.459
Y 1.261 -2.286 1.494
```

Results
Space group: P3m1 (156)
Calculated total energy (eV/f.u.): -18.948
Crystal system: trigonal